Record 1
Compound: Ca4GaAg2
Source: Alexandria
Functional: PBE
Structure: optimized geometry

Calculated values
For the total magnetization, the calculation gives 0.0000 μB/atom. The value obtained for the density is 3696 kg/m³. The density of states at the Fermi level is 4.8 states/eV/cell. Its space group is R-3m (166). For the volume, the calculation gives 200 Å³ per cell. The total energy comes out at -2.679 eV per atom. The calculation puts the formation energy at -195 kJ/mol of formula units.

Geometry as CIF:
```
data_Ca4GaAg2
_chemical_formula_sum 'Ca4 Ga1 Ag2'
_space_group_name_H-M_alt 'P 1'
_space_group_IT_number 1
_cell_length_a 8.9552
_cell_length_b 8.9552
_cell_length_c 8.9552
_cell_angle_alpha 34.01
_cell_angle_beta 34.01
_cell_angle_gamma 34.01
loop_
_space_group_symop_operation_xyz
'x,y,z'
loop_
_atom_site_label
_atom_site_type_symbol
_atom_site_fract_x
_atom_site_fract_y
_atom_site_fract_z
_atom_site_occupancy
Ca1 Ca 0.1244 0.1244 0.1244 1
Ca2 Ca 0.3748 0.3748 0.3748 1
Ca3 Ca 0.6252 0.6252 0.6252 1
Ca4 Ca 0.8756 0.8756 0.8756 1
Ga1 Ga 0.0000 0.0000 0.0000 1
Ag1 Ag 0.2508 0.2508 0.2508 1
Ag2 Ag 0.7492 0.7492 0.7492 1
```

---

Record 2
Compound: Er5Al3
Source: Alexandria
Functional: PBE
Structure: optimized geometry

Calculated values
For the total magnetization, the calculation gives 0.0000 μB/atom. The value obtained for the density is 7507 kg/m³. The density of states at the Fermi level is 14.4 states/eV/cell. Its space group is I4/mcm (140). The offset from the most stable computed form is 0.000 eV per atom. For the volume, the calculation gives 406 Å³ per cell. The total energy comes out at -4.560 eV per atom. The calculation puts the formation energy at -235 kJ/mol of formula units.

Geometry as CIF:
```
data_Er5Al3
_chemical_formula_sum 'Er10 Al6'
_space_group_name_H-M_alt 'P 1'
_space_group_IT_number 1
_cell_length_a 8.8918
_cell_length_b 8.8918
_cell_length_c 8.8918
_cell_angle_alpha 95.95
_cell_angle_beta 95.95
_cell_angle_gamma 142.43
loop_
_space_group_symop_operation_xyz
'x,y,z'
loop_
_atom_site_label
_atom_site_type_symbol
_atom_site_fract_x
_atom_site_fract_y
_atom_site_fract_z
_atom_site_occupancy
Er1 Er 0.0835 0.7815 0.8650 1
Er2 Er 0.2185 0.0835 0.3020 1
Er3 Er 0.2500 0.7500 0.5000 1
Er4 Er 0.2815 0.5835 0.8650 1
Er5 Er 0.4165 0.2815 0.6980 1
Er6 Er 0.5835 0.7185 0.3020 1
Er7 Er 0.7185 0.4165 0.1350 1
Er8 Er 0.7500 0.2500 0.5000 1
Er9 Er 0.7815 0.9165 0.6980 1
Er10 Er 0.9165 0.2185 0.1350 1
Al1 Al 0.1612 0.3388 0.5000 1
Al2 Al 0.2500 0.2500 0.0000 1
Al3 Al 0.3388 0.8388 0.1776 1
Al4 Al 0.6612 0.1612 0.8224 1
Al5 Al 0.7500 0.7500 0.0000 1
Al6 Al 0.8388 0.6612 0.5000 1
```

---

Record 3
Compound: Tm4HgPdRh2
Source: Alexandria
Functional: PBE
Structure: optimized geometry

Calculated values
For the total magnetization, the calculation gives 0.0000 μB/atom. The value obtained for the density is 11747 kg/m³. The density of states at the Fermi level is 4.5 states/eV/cell. Its space group is R-3m (166). For the volume, the calculation gives 168 Å³ per cell. The total energy comes out at -5.563 eV per atom. The calculation puts the formation energy at -619 kJ/mol of formula units.

Geometry as CIF:
```
data_Tm4HgPdRh2
_chemical_formula_sum 'Tm4 Hg1 Pd1 Rh2'
_space_group_name_H-M_alt 'P 1'
_space_group_IT_number 1
_cell_length_a 8.5773
_cell_length_b 8.5773
_cell_length_c 8.5773
_cell_angle_alpha 33.16
_cell_angle_beta 33.16
_cell_angle_gamma 33.16
loop_
_space_group_symop_operation_xyz
'x,y,z'
loop_
_atom_site_label
_atom_site_type_symbol
_atom_site_fract_x
_atom_site_fract_y
_atom_site_fract_z
_atom_site_occupancy
Tm1 Tm 0.1201 0.1201 0.1201 1
Tm2 Tm 0.3718 0.3718 0.3718 1
Tm3 Tm 0.6282 0.6282 0.6282 1
Tm4 Tm 0.8799 0.8799 0.8799 1
Hg1 Hg 0.5000 0.5000 0.5000 1
Pd1 Pd 0.0000 0.0000 0.0000 1
Rh1 Rh 0.2526 0.2526 0.2526 1
Rh2 Rh 0.7474 0.7474 0.7474 1
```

---

Record 4
Compound: TiGeN2O
Source: Alexandria
Functional: PBE
Structure: optimized geometry

Calculated values
For the total magnetization, the calculation gives 0.3453 μB/atom. The value obtained for the density is 4407 kg/m³. The density of states at the Fermi level is 2.5 states/eV/cell. Its space group is P4/mmm (123). For the volume, the calculation gives 62 Å³ per cell. The total energy comes out at -6.992 eV per atom.

Geometry as CIF:
```
data_TiGeN2O
_chemical_formula_sum 'Ti1 Ge1 N2 O1'
_space_group_name_H-M_alt 'P 1'
_space_group_IT_number 1
_cell_length_a 4.0065
_cell_length_b 4.0065
_cell_length_c 3.8618
_cell_angle_alpha 90.00
_cell_angle_beta 90.00
_cell_angle_gamma 90.00
loop_
_space_group_symop_operation_xyz
'x,y,z'
loop_
_atom_site_label
_atom_site_type_symbol
_atom_site_fract_x
_atom_site_fract_y
_atom_site_fract_z
_atom_site_occupancy
Ti1 Ti 0.0000 0.0000 0.0000 1
Ge1 Ge 0.5000 0.5000 0.5000 1
N1 N 0.0000 0.5000 0.0000 1
N2 N 0.5000 0.0000 0.0000 1
O1 O 0.0000 0.0000 0.5000 1
```

---

Record 5
Compound: Ca3Ni
Source: Alexandria
Functional: PBE
Structure: optimized geometry

Calculated values
For the total magnetization, the calculation gives 0.0000 μB/atom. The value obtained for the density is 2233 kg/m³. The density of states at the Fermi level is 8.6 states/eV/cell. Its space group is R-3m (166). For the volume, the calculation gives 399 Å³ per cell. The total energy comes out at -2.907 eV per atom. The calculation puts the formation energy at 15 kJ/mol of formula units.

Geometry as CIF:
```
data_Ca3Ni
_chemical_formula_sum 'Ca9 Ni3'
_space_group_name_H-M_alt 'P 1'
_space_group_IT_number 1
_cell_length_a 3.9345
_cell_length_b 3.9345
_cell_length_c 29.7791
_cell_angle_alpha 90.00
_cell_angle_beta 90.00
_cell_angle_gamma 120.00
loop_
_space_group_symop_operation_xyz
'x,y,z'
loop_
_atom_site_label
_atom_site_type_symbol
_atom_site_fract_x
_atom_site_fract_y
_atom_site_fract_z
_atom_site_occupancy
Ca1 Ca 0.0000 0.0000 0.0000 1
Ca2 Ca 0.0000 0.0000 0.2209 1
Ca3 Ca 0.0000 0.0000 0.7791 1
Ca4 Ca 0.3333 0.6667 0.4457 1
Ca5 Ca 0.3333 0.6667 0.6667 1
Ca6 Ca 0.3333 0.6667 0.8876 1
Ca7 Ca 0.6667 0.3333 0.1124 1
Ca8 Ca 0.6667 0.3333 0.3333 1
Ca9 Ca 0.6667 0.3333 0.5543 1
Ni1 Ni 0.0000 0.0000 0.5000 1
Ni2 Ni 0.3333 0.6667 0.1667 1
Ni3 Ni 0.6667 0.3333 0.8333 1
```

---

Record 6
Compound: SrBe2Pt
Source: Alexandria
Functional: PBE
Structure: optimized geometry

Calculated values
For the total magnetization, the calculation gives 0.0000 μB/atom. The value obtained for the density is 7650 kg/m³. The density of states at the Fermi level is 17.8 states/eV/cell. Its space group is Fm-3m (225). The offset from the most stable computed form is 0.667 eV per atom. For the volume, the calculation gives 261 Å³ per cell. The total energy comes out at -3.633 eV per atom. The calculation puts the formation energy at 62 kJ/mol of formula units.

Geometry as CIF:
```
data_SrBe2Pt
_chemical_formula_sum 'Sr4 Be8 Pt4'
_space_group_name_H-M_alt 'P 1'
_space_group_IT_number 1
_cell_length_a 6.3917
_cell_length_b 6.3917
_cell_length_c 6.3917
_cell_angle_alpha 90.00
_cell_angle_beta 90.00
_cell_angle_gamma 90.00
loop_
_space_group_symop_operation_xyz
'x,y,z'
loop_
_atom_site_label
_atom_site_type_symbol
_atom_site_fract_x
_atom_site_fract_y
_atom_site_fract_z
_atom_site_occupancy
Sr1 Sr 0.0000 0.0000 0.0000 1
Sr2 Sr 0.0000 0.5000 0.5000 1
Sr3 Sr 0.5000 0.0000 0.5000 1
Sr4 Sr 0.5000 0.5000 0.0000 1
Be1 Be 0.2500 0.2500 0.2500 1
Be2 Be 0.2500 0.2500 0.7500 1
Be3 Be 0.2500 0.7500 0.2500 1
Be4 Be 0.2500 0.7500 0.7500 1
Be5 Be 0.7500 0.2500 0.2500 1
Be6 Be 0.7500 0.2500 0.7500 1
Be7 Be 0.7500 0.7500 0.2500 1
Be8 Be 0.7500 0.7500 0.7500 1
Pt1 Pt 0.0000 0.0000 0.5000 1
Pt2 Pt 0.0000 0.5000 0.0000 1
Pt3 Pt 0.5000 0.0000 0.0000 1
Pt4 Pt 0.5000 0.5000 0.5000 1
```

---

Record 7
Compound: Ac12La7Er
Source: Alexandria
Functional: PBE
Structure: optimized geometry

Calculated values
For the total magnetization, the calculation gives 0.0001 μB/atom. The value obtained for the density is 6928 kg/m³. The density of states at the Fermi level is 32.5 states/eV/cell. Its space group is Im-3 (204). For the volume, the calculation gives 926 Å³ per cell. The total energy comes out at -3.819 eV per atom. The calculation puts the formation energy at 1155 kJ/mol of formula units.

Geometry as CIF:
```
data_Ac12La7Er
_chemical_formula_sum 'Ac12 La7 Er1'
_space_group_name_H-M_alt 'P 1'
_space_group_IT_number 1
_cell_length_a 10.6351
_cell_length_b 10.6351
_cell_length_c 10.6351
_cell_angle_alpha 109.47
_cell_angle_beta 109.47
_cell_angle_gamma 109.47
loop_
_space_group_symop_operation_xyz
'x,y,z'
loop_
_atom_site_label
_atom_site_type_symbol
_atom_site_fract_x
_atom_site_fract_y
_atom_site_fract_z
_atom_site_occupancy
Ac1 Ac 0.0706 0.8014 0.2692 1
Ac2 Ac 0.1986 0.2692 0.4677 1
Ac3 Ac 0.1986 0.7308 0.9294 1
Ac4 Ac 0.2692 0.0706 0.8014 1
Ac5 Ac 0.2692 0.4677 0.1986 1
Ac6 Ac 0.4677 0.1986 0.2692 1
Ac7 Ac 0.5323 0.8014 0.7308 1
Ac8 Ac 0.7308 0.5323 0.8014 1
Ac9 Ac 0.7308 0.9294 0.1986 1
Ac10 Ac 0.8014 0.2692 0.0706 1
Ac11 Ac 0.8014 0.7308 0.5323 1
Ac12 Ac 0.9294 0.1986 0.7308 1
La1 La 0.0000 0.0000 0.5000 1
La2 La 0.0000 0.5000 0.0000 1
La3 La 0.0000 0.5000 0.5000 1
La4 La 0.5000 0.0000 0.0000 1
La5 La 0.5000 0.0000 0.5000 1
La6 La 0.5000 0.5000 0.0000 1
La7 La 0.5000 0.5000 0.5000 1
Er1 Er 0.0000 0.0000 0.0000 1
```

---

Record 8
Compound: TeRu2W
Source: Alexandria
Functional: PBE
Structure: optimized geometry

Calculated values
For the total magnetization, the calculation gives 0.0000 μB/atom. The value obtained for the density is 9005 kg/m³. The density of states at the Fermi level is 10.4 states/eV/cell. Its space group is I-42d (122). For the volume, the calculation gives 379 Å³ per cell. The total energy comes out at -7.907 eV per atom.

Geometry as CIF:
```
data_TeRu2W
_chemical_formula_sum 'Te4 Ru8 W4'
_space_group_name_H-M_alt 'P 1'
_space_group_IT_number 1
_cell_length_a 5.7031
_cell_length_b 5.7031
_cell_length_c 11.6469
_cell_angle_alpha 90.00
_cell_angle_beta 90.00
_cell_angle_gamma 90.00
loop_
_space_group_symop_operation_xyz
'x,y,z'
loop_
_atom_site_label
_atom_site_type_symbol
_atom_site_fract_x
_atom_site_fract_y
_atom_site_fract_z
_atom_site_occupancy
Te1 Te 0.0000 0.0000 0.0000 1
Te2 Te 0.0000 0.5000 0.2500 1
Te3 Te 0.5000 0.0000 0.7500 1
Te4 Te 0.5000 0.5000 0.5000 1
Ru1 Ru 0.2262 0.2500 0.6250 1
Ru2 Ru 0.2500 0.7262 0.8750 1
Ru3 Ru 0.2500 0.7738 0.3750 1
Ru4 Ru 0.2738 0.2500 0.1250 1
Ru5 Ru 0.7262 0.7500 0.1250 1
Ru6 Ru 0.7500 0.2262 0.3750 1
Ru7 Ru 0.7500 0.2738 0.8750 1
Ru8 Ru 0.7738 0.7500 0.6250 1
W1 W 0.0000 0.0000 0.5000 1
W2 W 0.0000 0.5000 0.7500 1
W3 W 0.5000 0.0000 0.2500 1
W4 W 0.5000 0.5000 0.0000 1
```

---

Record 9
Compound: ScCr2Fe
Source: Alexandria
Functional: PBE
Structure: optimized geometry

Calculated values
For the total magnetization, the calculation gives 0.2499 μB/atom. The value obtained for the density is 5819 kg/m³. The density of states at the Fermi level is 13.0 states/eV/cell. Its space group is I-42d (122). The offset from the most stable computed form is 0.396 eV per atom. For the volume, the calculation gives 234 Å³ per cell. The total energy comes out at -7.961 eV per atom. The calculation puts the formation energy at 212 kJ/mol of formula units.

Geometry as CIF:
```
data_ScCr2Fe
_chemical_formula_sum 'Sc4 Cr8 Fe4'
_space_group_name_H-M_alt 'P 1'
_space_group_IT_number 1
_cell_length_a 6.8049
_cell_length_b 6.8049
_cell_length_c 5.0478
_cell_angle_alpha 90.00
_cell_angle_beta 90.00
_cell_angle_gamma 90.00
loop_
_space_group_symop_operation_xyz
'x,y,z'
loop_
_atom_site_label
_atom_site_type_symbol
_atom_site_fract_x
_atom_site_fract_y
_atom_site_fract_z
_atom_site_occupancy
Sc1 Sc 0.0000 0.0000 0.0000 1
Sc2 Sc 0.0000 0.5000 0.2500 1
Sc3 Sc 0.5000 0.0000 0.7500 1
Sc4 Sc 0.5000 0.5000 0.5000 1
Cr1 Cr 0.1910 0.2500 0.6250 1
Cr2 Cr 0.2500 0.6910 0.8750 1
Cr3 Cr 0.2500 0.8090 0.3750 1
Cr4 Cr 0.3090 0.2500 0.1250 1
Cr5 Cr 0.6910 0.7500 0.1250 1
Cr6 Cr 0.7500 0.1910 0.3750 1
Cr7 Cr 0.7500 0.3090 0.8750 1
Cr8 Cr 0.8090 0.7500 0.6250 1
Fe1 Fe 0.0000 0.0000 0.5000 1
Fe2 Fe 0.0000 0.5000 0.7500 1
Fe3 Fe 0.5000 0.0000 0.2500 1
Fe4 Fe 0.5000 0.5000 0.0000 1
```